{
  "formula": "BaNaInHg2",
  "functional": "PBE-GGA",
  "state": "optimized geometry",
  "lattice_angstrom": [[4.7977, 0.0000, 0.0000], [0.0000, 4.7977, 0.0000], [0.0000, 0.0000, 13.5435]],
  "species": ["Ba", "Ba", "Na", "Na", "In", "In", "Hg", "Hg", "Hg", "Hg"],
  "fractional_positions": [[0.0000, 0.0000, 0.0000], [0.5000, 0.5000, 0.5000], [0.0000, 0.5000, 0.7500], [0.5000, 0.0000, 0.2500], [0.0000, 0.5000, 0.2500], [0.5000, 0.0000, 0.7500], [0.0000, 0.0000, 0.3891], [0.0000, 0.0000, 0.6109], [0.5000, 0.5000, 0.1109], [0.5000, 0.5000, 0.8891]],
  "formation_enthalpy_0k_ev_per_atom": -0.35,
  "mass_density_g_cm3": 7.205,
  "volume_a3_per_cell": 311.74
}


{
  "formula": "PaAlZnRh",
  "functional": "PBE-GGA",
  "state": "optimized geometry",
  "lattice_angstrom": [[6.6395, 0.0000, 0.0000], [0.0000, 6.6395, 0.0000], [0.0000, 0.0000, 6.6395]],
  "species": ["Pa", "Pa", "Pa", "Pa", "Al", "Al", "Al", "Al", "Zn", "Zn", "Zn", "Zn", "Rh", "Rh", "Rh", "Rh"],
  "fractional_positions": [[0.0000, 0.0000, 0.0000], [0.0000, 0.5000, 0.5000], [0.5000, 0.0000, 0.5000], [0.5000, 0.5000, 0.0000], [0.0000, 0.0000, 0.5000], [0.0000, 0.5000, 0.0000], [0.5000, 0.0000, 0.0000], [0.5000, 0.5000, 0.5000], [0.2500, 0.2500, 0.2500], [0.2500, 0.7500, 0.7500], [0.7500, 0.2500, 0.7500], [0.7500, 0.7500, 0.2500], [0.2500, 0.2500, 0.7500], [0.2500, 0.7500, 0.2500], [0.7500, 0.2500, 0.2500], [0.7500, 0.7500, 0.7500]],
  "formation_enthalpy_0k_ev_per_atom": -0.42,
  "mass_density_g_cm3": 9.675,
  "volume_a3_per_cell": 292.69
}


{
  "formula": "MnSiAu3",
  "functional": "PBE-GGA",
  "state": "optimized geometry",
  "lattice_angstrom": [[4.7386, 0.0000, 0.0000], [0.0000, 4.7386, 0.0000], [0.0000, 0.0000, 4.7386]],
  "species": ["Mn", "Si", "Au", "Au", "Au"],
  "fractional_positions": [[0.0000, 0.0000, 0.0000], [0.5000, 0.5000, 0.5000], [0.0000, 0.5000, 0.5000], [0.5000, 0.0000, 0.5000], [0.5000, 0.5000, 0.0000]],
  "e_above_lowest_polymorph_mev_per_atom": 0.0,
  "mass_density_g_cm3": 10.518,
  "volume_a3_per_cell": 106.40
}


{
  "formula": "Y2In5Cl12",
  "functional": "PBE-GGA",
  "state": "optimized geometry",
  "lattice_angstrom": [[7.9446, -4.8576, 0.0000], [7.9446, 4.8576, 0.0000], [-4.0947, 0.0000, 7.1247]],
  "species": ["Y", "Y", "In", "In", "In", "In", "In", "Cl", "Cl", "Cl", "Cl", "Cl", "Cl", "Cl", "Cl", "Cl", "Cl", "Cl", "Cl"],
  "fractional_positions": [[0.2454, 0.7546, 0.0000], [0.7546, 0.2454, 0.0000], [0.0000, 0.0000, 0.5000], [0.2756, 0.2756, 0.0535], [0.3168, 0.3168, 0.4862], [0.6832, 0.6832, 0.5138], [0.7244, 0.7244, 0.9465], [0.0880, 0.6976, 0.1680], [0.0901, 0.0901, 0.2119], [0.1305, 0.4972, 0.7331], [0.3024, 0.9120, 0.8320], [0.4868, 0.4868, 0.1852], [0.4972, 0.1305, 0.7331], [0.5028, 0.8695, 0.2669], [0.5132, 0.5132, 0.8148], [0.6976, 0.0880, 0.1680], [0.8695, 0.5028, 0.2669], [0.9099, 0.9099, 0.7881], [0.9120, 0.3024, 0.8320]],
  "energy_ev_per_atom": -3.95,
  "mass_density_g_cm3": 3.555,
  "volume_a3_per_cell": 549.91
}


{
  "formula": "Nd4Ag2Hg5",
  "functional": "PBE-GGA",
  "state": "optimized geometry",
  "lattice_angstrom": [[8.1865, 0.0000, 0.0000], [0.0000, 3.6488, 0.0000], [-0.5679, 0.0000, 9.8901]],
  "species": ["Nd", "Nd", "Nd", "Nd", "Ag", "Ag", "Hg", "Hg", "Hg", "Hg", "Hg"],
  "fractional_positions": [[0.2086, 0.0000, 0.1420], [0.2540, 0.0000, 0.6112], [0.7460, 0.0000, 0.3888], [0.7914, 0.0000, 0.8580], [0.0686, 0.5000, 0.3757], [0.9314, 0.5000, 0.6243], [0.1359, 0.5000, 0.8744], [0.4207, 0.5000, 0.3552], [0.5000, 0.5000, 0.0000], [0.5793, 0.5000, 0.6448], [0.8641, 0.5000, 0.1256]],
  "formation_enthalpy_0k_ev_per_atom": -0.35,
  "mass_density_g_cm3": 10.093,
  "volume_a3_per_cell": 295.43
}


{
  "formula": "LaTb3Dy6Sc2",
  "functional": "PBE-GGA",
  "state": "optimized geometry",
  "lattice_angstrom": [[3.0452, -5.2715, 0.0000], [3.0452, 5.2715, 0.0000], [-2.0185, 0.0000, 11.5063]],
  "species": ["La", "Tb", "Tb", "Tb", "Dy", "Dy", "Dy", "Dy", "Dy", "Dy", "Sc", "Sc"],
  "fractional_positions": [[0.0000, 0.0000, 0.0000], [0.1674, 0.8326, 0.5000], [0.5000, 0.5000, 0.5000], [0.8326, 0.1674, 0.5000], [0.0835, 0.4201, 0.2476], [0.2536, 0.2536, 0.7523], [0.4201, 0.0835, 0.2476], [0.5799, 0.9165, 0.7524], [0.7464, 0.7464, 0.2477], [0.9165, 0.5799, 0.7524], [0.3334, 0.6666, 0.0000], [0.6666, 0.3334, 0.0000]],
  "formation_enthalpy_0k_ev_per_atom": 0.04,
  "mass_density_g_cm3": 7.554,
  "volume_a3_per_cell": 369.42
}


{
  "formula": "LiCl3",
  "functional": "PBE-GGA",
  "state": "optimized geometry",
  "lattice_angstrom": [[6.7805, 0.0000, 0.0000], [0.0000, 6.7805, 0.0000], [0.0000, 0.0000, 8.8475]],
  "species": ["Li", "Li", "Li", "Li", "Cl", "Cl", "Cl", "Cl", "Cl", "Cl", "Cl", "Cl", "Cl", "Cl", "Cl", "Cl"],
  "fractional_positions": [[0.0000, 0.0000, 0.0000], [0.0000, 0.5000, 0.2500], [0.5000, 0.0000, 0.7500], [0.5000, 0.5000, 0.5000], [0.0000, 0.0000, 0.5000], [0.0000, 0.5000, 0.7500], [0.1901, 0.2500, 0.1250], [0.2500, 0.6901, 0.3750], [0.2500, 0.8099, 0.8750], [0.3099, 0.2500, 0.6250], [0.5000, 0.0000, 0.2500], [0.5000, 0.5000, 0.0000], [0.6901, 0.7500, 0.6250], [0.7500, 0.1901, 0.8750], [0.7500, 0.3099, 0.3750], [0.8099, 0.7500, 0.1250]],
  "e_above_lowest_polymorph_mev_per_atom": 402.7,
  "mass_density_g_cm3": 1.850,
  "volume_a3_per_cell": 406.76
}


{
  "formula": "CaTmF5",
  "functional": "PBE-GGA",
  "state": "optimized geometry",
  "lattice_angstrom": [[3.6395, -3.3716, 0.0000], [3.6395, 3.3716, 0.0000], [-0.3423, 0.0000, 7.5030]],
  "species": ["Ca", "Ca", "Tm", "Tm", "F", "F", "F", "F", "F", "F", "F", "F", "F", "F"],
  "fractional_positions": [[0.0000, 0.0000, 0.0000], [0.0000, 0.0000, 0.5000], [0.4826, 0.5174, 0.7500], [0.5174, 0.4826, 0.2500], [0.0651, 0.6295, 0.8202], [0.1890, 0.8110, 0.2500], [0.2700, 0.4012, 0.4959], [0.3705, 0.9349, 0.6798], [0.4012, 0.2700, 0.9959], [0.5988, 0.7300, 0.0041], [0.6295, 0.0651, 0.3202], [0.7300, 0.5988, 0.5041], [0.8110, 0.1890, 0.7500], [0.9349, 0.3705, 0.1798]],
  "energy_ev_per_atom": -6.23,
  "mass_density_g_cm3": 5.483,
  "volume_a3_per_cell": 184.14
}


{
  "formula": "Sm3ScPb2",
  "functional": "PBE-GGA",
  "state": "optimized geometry",
  "lattice_angstrom": [[4.5785, 0.0000, 0.0000], [0.0000, 4.5785, 0.0000], [0.0000, 0.0000, 8.6272]],
  "species": ["Sm", "Sm", "Sm", "Sc", "Pb", "Pb"],
  "fractional_positions": [[0.0000, 0.0000, 0.0000], [0.0000, 0.5000, 0.6566], [0.5000, 0.0000, 0.3434], [0.5000, 0.5000, 0.0000], [0.0000, 0.5000, 0.2764], [0.5000, 0.0000, 0.7236]],
  "formation_enthalpy_0k_ev_per_atom": -0.43,
  "e_above_lowest_polymorph_mev_per_atom": 0.0,
  "mass_density_g_cm3": 8.360,
  "volume_a3_per_cell": 180.85
}


{
  "formula": "CaCdSbH",
  "functional": "PBE-GGA",
  "state": "optimized geometry",
  "lattice_angstrom": [[4.4064, 0.0000, 0.0000], [0.0000, 4.4064, 0.0000], [0.0000, 0.0000, 8.8191]],
  "species": ["Ca", "Ca", "Cd", "Cd", "Sb", "Sb", "H", "H"],
  "fractional_positions": [[0.2500, 0.2500, 0.1145], [0.7500, 0.7500, 0.8855], [0.2500, 0.7500, 0.5000], [0.7500, 0.2500, 0.5000], [0.2500, 0.2500, 0.7223], [0.7500, 0.7500, 0.2777], [0.2500, 0.7500, 0.0000], [0.7500, 0.2500, 0.0000]],
  "energy_ev_per_atom": -3.06,
  "mass_density_g_cm3": 5.339,
  "volume_a3_per_cell": 171.23
}


{
  "formula": "AcLaTm3",
  "functional": "PBE-GGA",
  "state": "optimized geometry",
  "lattice_angstrom": [[9.4308, 0.0000, 0.0000], [0.0000, 6.4348, 0.0000], [-5.0908, 0.0000, 11.3863]],
  "species": ["Ac", "Ac", "Ac", "Ac", "La", "La", "La", "La", "Tm", "Tm", "Tm", "Tm", "Tm", "Tm", "Tm", "Tm", "Tm", "Tm", "Tm", "Tm"],
  "fractional_positions": [[0.1559, 0.1697, 0.1035], [0.1559, 0.3303, 0.6035], [0.8441, 0.6697, 0.3965], [0.8441, 0.8303, 0.8965], [0.2614, 0.6648, 0.0021], [0.2614, 0.8352, 0.5021], [0.7386, 0.1648, 0.4979], [0.7386, 0.3352, 0.9979], [0.0517, 0.6642, 0.2043], [0.0517, 0.8358, 0.7043], [0.3533, 0.1604, 0.9001], [0.3533, 0.3396, 0.4001], [0.4479, 0.6753, 0.7999], [0.4479, 0.8247, 0.2999], [0.5521, 0.1753, 0.7001], [0.5521, 0.3247, 0.2001], [0.6467, 0.6604, 0.5999], [0.6467, 0.8396, 0.0999], [0.9483, 0.1642, 0.2957], [0.9483, 0.3358, 0.7957]],
  "formation_enthalpy_0k_ev_per_atom": 0.05,
  "mass_density_g_cm3": 8.389,
  "volume_a3_per_cell": 690.98
}


{
  "formula": "Sr2TbTl3",
  "functional": "PBE-GGA",
  "state": "optimized geometry",
  "lattice_angstrom": [[3.9543, 0.0000, 0.0000], [0.0000, 3.9543, 0.0000], [0.0000, 0.0000, 12.2593]],
  "species": ["Sr", "Sr", "Tb", "Tl", "Tl", "Tl"],
  "fractional_positions": [[0.0000, 0.0000, 0.1745], [0.0000, 0.0000, 0.8255], [0.0000, 0.0000, 0.5000], [0.5000, 0.5000, 0.0000], [0.5000, 0.5000, 0.3532], [0.5000, 0.5000, 0.6468]],
  "formation_enthalpy_0k_ev_per_atom": -0.39,
  "mass_density_g_cm3": 8.206,
  "volume_a3_per_cell": 191.69
}